[1]
VASP calculation (PBE) on an optimized crystal structure of ZrPb2Se.

POSCAR file:
```
ZrPb2Se
1.0
-1.736 2.691 5.572
1.736 -2.691 5.572
1.736 2.691 -5.572
Zr Pb Se
1 2 1
direct
0.000 0.000 0.000
0.264 0.764 0.500
0.543 0.543 0.000
0.818 0.318 0.500
```

Values from the calculation:
- M_tot: 0.00 μB/cell
- Uncorrected energy: -5.137 eV per atom
- Formation energy from raw total energies: -1.1 eV/f.u.


[2]
VASP calculation (PBE) on an optimized crystal structure of Zr2NiOs2.

POSCAR file:
```
Zr2NiOs2
1.0
6.490 0.000 0.000
0.000 6.490 0.000
0.000 0.000 4.185
Zr Ni Os
4 2 4
direct
0.180 0.320 0.000
0.320 0.820 0.000
0.680 0.180 0.000
0.820 0.680 0.000
0.000 0.000 0.500
0.500 0.500 0.500
0.135 0.635 0.500
0.365 0.135 0.500
0.635 0.865 0.500
0.865 0.365 0.500
```

Values from the calculation:
- M_tot: 0.00 μB/cell
- Uncorrected energy: -9.228 eV per atom
- ΔH_f (0 K): -161 meV per atom


[3]
VASP calculation (PBE) on an optimized crystal structure of BaPbS2.

POSCAR file:
```
BaPbS2
1.0
4.402 0.000 0.000
-0.005 4.513 0.000
-0.001 -0.026 6.312
Ba Pb S
1 1 2
direct
0.000 0.000 0.000
0.501 0.472 0.476
0.500 0.497 0.036
0.999 0.065 0.498
```

Values from the calculation:
- M_tot: 0.00 μB/cell
- Uncorrected energy: -4.783 eV per atom
- Formation energy from raw total energies: -5.2 eV/f.u.


[4]
VASP calculation (PBE) on an optimized crystal structure of LiTaFe4.

POSCAR file:
```
LiTaFe4
1.0
0.000 3.343 3.343
3.343 0.000 3.343
3.343 3.343 0.000
Li Ta Fe
1 1 4
direct
0.000 0.000 0.000
0.750 0.750 0.750
0.374 0.374 0.374
0.374 0.374 0.877
0.374 0.877 0.374
0.877 0.374 0.374
```

Values from the calculation:
- M_tot: 5.21 μB/cell
- Uncorrected energy: -7.965 eV per atom
- ΔH_f (0 K): -29 meV per atom


[5]
VASP calculation (PBE) on an optimized crystal structure of NaNpPbF6.

POSCAR file:
```
NaNpPbF6
1.0
6.345 0.000 0.000
-3.173 5.495 0.000
0.000 0.000 9.325
Na Np Pb F
2 2 2 12
direct
0.000 0.000 0.000
0.000 0.000 0.500
0.333 0.667 0.250
0.667 0.333 0.750
0.333 0.667 0.750
0.667 0.333 0.250
0.025 0.350 0.125
0.025 0.675 0.375
0.325 0.350 0.375
0.325 0.975 0.125
0.350 0.025 0.625
0.350 0.325 0.875
0.650 0.675 0.125
0.650 0.975 0.375
0.675 0.025 0.875
0.675 0.650 0.625
0.975 0.325 0.625
0.975 0.650 0.875
```

Values from the calculation:
- M_tot: 8.00 μB/cell
- Uncorrected energy: -6.096 eV per atom
- Formation energy from raw total energies: -25.7 eV/f.u.


[6]
VASP calculation (PBE) on an optimized crystal structure of ThMgScCu.

POSCAR file:
```
ThMgScCu
1.0
0.000 3.585 3.585
3.585 0.000 3.585
3.585 3.585 0.000
Th Mg Sc Cu
1 1 1 1
direct
0.000 0.000 0.000
0.750 0.750 0.750
0.500 0.500 0.500
0.250 0.250 0.250
```

Values from the calculation:
- M_tot: 0.17 μB/cell
- Uncorrected energy: -4.808 eV per atom
- ΔH_f (0 K): 53 meV per atom


[7]
VASP calculation (PBE) on an optimized crystal structure of ScIn2Rh.

POSCAR file:
```
ScIn2Rh
1.0
0.000 3.386 3.386
3.386 0.000 3.386
3.386 3.386 0.000
Sc In Rh
1 2 1
direct
0.000 0.000 0.000
0.250 0.250 0.250
0.500 0.500 0.500
0.750 0.750 0.750
```

Values from the calculation:
- M_tot: 0.00 μB/cell
- Uncorrected energy: -5.156 eV per atom
- ΔH_f (0 K): -366 meV per atom


[8]
VASP calculation (PBE) on an optimized crystal structure of ErSc4CuS8.

POSCAR file:
```
ErSc4CuS8
1.0
3.765 2.174 6.251
-3.765 2.174 6.251
0.000 -4.348 6.251
Er Sc Cu S
1 4 1 8
direct
0.000 0.000 0.000
0.376 0.376 0.376
0.521 0.997 0.997
0.997 0.521 0.997
0.997 0.997 0.521
0.629 0.629 0.629
0.244 0.244 0.244
0.245 0.751 0.751
0.253 0.253 0.773
0.253 0.773 0.253
0.751 0.245 0.751
0.751 0.751 0.245
0.757 0.757 0.757
0.773 0.253 0.253
```

Values from the calculation:
- M_tot: 0.00 μB/cell
- Uncorrected energy: -6.504 eV per atom
- Formation energy from raw total energies: -24.0 eV/f.u.


[9]
VASP calculation (PBE) on an optimized crystal structure of Cs3NpSe4.

POSCAR file:
```
Cs3NpSe4
1.0
4.982 -7.194 0.000
4.982 7.194 0.000
0.000 0.000 4.475
Cs Np Se
3 1 4
direct
0.000 0.000 0.000
0.000 0.500 0.500
0.500 0.000 0.500
0.500 0.500 0.000
0.312 0.312 0.500
0.315 0.685 0.000
0.685 0.315 0.000
0.688 0.688 0.500
```

Values from the calculation:
- M_tot: 2.00 μB/cell
- Uncorrected energy: -4.790 eV per atom
- Formation energy from raw total energies: -8.9 eV/f.u.


[10]
VASP calculation (PBE) on an optimized crystal structure of TlTcBr4.

POSCAR file:
```
TlTcBr4
1.0
4.566 -7.931 0.000
4.566 7.931 0.000
-4.008 0.000 6.398
Tl Tc Br
2 2 8
direct
0.079 0.921 0.750
0.921 0.079 0.250
0.434 0.566 0.250
0.566 0.434 0.750
0.125 0.480 0.233
0.257 0.358 0.764
0.358 0.257 0.264
0.480 0.125 0.733
0.520 0.875 0.267
0.642 0.743 0.736
0.743 0.642 0.236
0.875 0.520 0.767
```

Values from the calculation:
- M_tot: 8.00 μB/cell
- Uncorrected energy: -3.637 eV per atom
- Formation energy from raw total energies: -2.4 eV/f.u.
- ΔE to the lowest computed polymorph: 0.000 eV per atom


[11]
VASP calculation (PBE) on an optimized crystal structure of Be2ReP.

POSCAR file:
```
Be2ReP
1.0
1.531 -2.122 0.000
1.531 2.122 0.000
0.000 0.000 7.371
Be Re P
2 1 1
direct
0.000 0.000 0.249
0.000 0.000 0.751
0.500 0.500 0.500
0.500 0.500 0.000
```

Values from the calculation:
- M_tot: 0.00 μB/cell
- Uncorrected energy: -6.036 eV per atom
- ΔE to the lowest computed polymorph: 0.443 eV per atom
- ΔH_f (0 K): 292 meV per atom


[12]
VASP calculation (PBE) on an optimized crystal structure of PrSiGe2Os2.

POSCAR file:
```
PrSiGe2Os2
1.0
4.502 0.000 0.000
0.000 4.502 0.000
0.000 0.000 5.670
Pr Si Ge Os
1 1 2 2
direct
0.000 0.000 0.000
0.000 0.000 0.500
0.500 0.500 0.230
0.500 0.500 0.770
0.000 0.500 0.500
0.500 0.000 0.500
```

Values from the calculation:
- M_tot: 0.00 μB/cell
- Uncorrected energy: -6.989 eV per atom
- Formation energy from raw total energies: 0.0 eV/f.u.


[13]
VASP calculation (PBE) on an optimized crystal structure of AcH8IrPt2.

POSCAR file:
```
AcH8IrPt2
1.0
4.606 0.000 0.000
0.411 4.632 0.000
0.362 0.389 6.135
Ac H Ir Pt
1 8 1 2
direct
0.000 0.000 0.000
0.065 0.225 0.339
0.252 0.742 0.404
0.266 0.251 0.613
0.266 0.484 0.020
0.734 0.516 0.980
0.734 0.749 0.387
0.748 0.258 0.596
0.935 0.775 0.661
0.000 0.500 0.500
0.482 0.414 0.788
0.518 0.586 0.212
```

Values from the calculation:
- M_tot: 0.00 μB/cell
- Uncorrected energy: -4.584 eV per atom


[14]
VASP calculation (PBE) on an optimized crystal structure of LaHg3Mo.

POSCAR file:
```
LaHg3Mo
1.0
5.963 0.000 0.000
0.000 5.963 0.000
0.000 0.000 5.963
La Hg Mo
1 3 1
direct
0.000 0.000 0.000
0.000 0.000 0.500
0.000 0.500 0.000
0.500 0.000 0.000
0.500 0.500 0.500
```

Values from the calculation:
- M_tot: 4.06 μB/cell
- Uncorrected energy: -2.044 eV per atom
- ΔE to the lowest computed polymorph: 0.913 eV per atom
- ΔH_f (0 K): 1289 meV per atom


[15]
VASP calculation (PBE) on an optimized crystal structure of ScV2CrBr.

POSCAR file:
```
ScV2CrBr
1.0
4.255 0.000 0.000
0.000 4.255 0.000
0.000 0.000 5.439
Sc V Cr Br
1 2 1 1
direct
0.000 0.000 0.000
0.000 0.500 0.500
0.500 0.000 0.500
0.000 0.000 0.500
0.500 0.500 0.000
```

Values from the calculation:
- M_tot: 0.00 μB/cell
- Uncorrected energy: -6.442 eV per atom
- Formation energy from raw total energies: 3.7 eV/f.u.


[16]
VASP calculation (PBE) on an optimized crystal structure of ScP2Cl.

POSCAR file:
```
ScP2Cl
1.0
0.000 3.318 3.318
3.318 0.000 3.318
3.318 3.318 0.000
Sc P Cl
1 2 1
direct
0.000 0.000 0.000
0.250 0.250 0.250
0.750 0.750 0.750
0.500 0.500 0.500
```

Values from the calculation:
- M_tot: 0.00 μB/cell
- Uncorrected energy: -4.563 eV per atom
- Formation energy from raw total energies: 0.7 eV/f.u.
- ΔE to the lowest computed polymorph: 1.117 eV per atom


[17]
VASP calculation (PBE) on an optimized crystal structure of KCrMo2.

POSCAR file:
```
KCrMo2
1.0
4.580 -1.481 0.000
4.580 1.481 0.000
-0.348 0.000 7.200
K Cr Mo
1 1 2
direct
0.000 0.000 0.000
0.756 0.756 0.390
0.235 0.235 0.622
0.492 0.492 0.477
```

Values from the calculation:
- M_tot: 0.00 μB/cell
- Uncorrected energy: -7.070 eV per atom
- ΔE to the lowest computed polymorph: 0.218 eV per atom
- ΔH_f (0 K): 1026 meV per atom


[18]
VASP calculation (PBE) on an optimized crystal structure of MgMoPt4.

POSCAR file:
```
MgMoPt4
1.0
0.000 3.721 3.721
3.721 0.000 3.721
3.721 3.721 0.000
Mg Mo Pt
1 1 4
direct
0.000 0.000 0.000
0.250 0.250 0.250
0.125 0.625 0.625
0.625 0.125 0.625
0.625 0.625 0.125
0.625 0.625 0.625
```

Values from the calculation:
- M_tot: 2.39 μB/cell
- Uncorrected energy: -6.181 eV per atom
- ΔH_f (0 K): -83 meV per atom


[19]
VASP calculation (PBE) on an optimized crystal structure of VNiMo.

POSCAR file:
```
VNiMo
1.0
3.234 -3.561 0.000
3.234 3.561 0.000
0.000 0.000 4.268
V Ni Mo
2 2 2
direct
0.000 0.000 0.000
0.500 0.500 0.500
0.175 0.175 0.500
0.825 0.825 0.500
0.318 0.682 0.000
0.682 0.318 0.000
```

Values from the calculation:
- M_tot: 0.00 μB/cell
- Uncorrected energy: -7.478 eV per atom
- ΔE to the lowest computed polymorph: 1.232 eV per atom
- ΔH_f (0 K): 1099 meV per atom


[20]
VASP calculation (PBE) on an optimized crystal structure of U2GaNi4Ge3.

POSCAR file:
```
U2GaNi4Ge3
1.0
4.043 0.000 0.000
0.000 4.043 0.000
0.000 0.000 9.760
U Ga Ni Ge
2 1 4 3
direct
0.000 0.500 0.244
0.500 0.000 0.756
0.000 0.000 0.500
0.000 0.000 0.000
0.000 0.500 0.633
0.500 0.000 0.367
0.500 0.500 0.000
0.000 0.500 0.870
0.500 0.000 0.130
0.500 0.500 0.500
```

Values from the calculation:
- M_tot: 3.68 μB/cell
- Uncorrected energy: -6.660 eV per atom
- ΔH_f (0 K): -402 meV per atom


[21]
VASP calculation (PBE) on an optimized crystal structure of Nd2NpAgS5.

POSCAR file:
```
Nd2NpAgS5
1.0
1.997 -8.293 0.000
1.997 8.293 0.000
0.000 0.000 12.192
Nd Np Ag S
4 2 2 10
direct
0.114 0.886 0.500
0.126 0.874 0.117
0.874 0.126 0.617
0.886 0.114 0.000
0.194 0.806 0.818
0.806 0.194 0.318
0.474 0.526 0.283
0.526 0.474 0.783
0.046 0.954 0.897
0.291 0.709 0.474
0.305 0.695 0.157
0.359 0.641 0.814
0.500 0.500 0.086
0.500 0.500 0.586
0.641 0.359 0.314
0.695 0.305 0.657
0.709 0.291 0.974
0.954 0.046 0.397
```

Values from the calculation:
- M_tot: 7.89 μB/cell
- Uncorrected energy: -6.579 eV per atom
- Formation energy from raw total energies: -13.2 eV/f.u.


[22]
VASP calculation (PBE) on an optimized crystal structure of Sc2HgSe.

POSCAR file:
```
Sc2HgSe
1.0
3.228 -3.826 0.000
3.228 3.826 0.000
-0.020 0.000 3.393
Sc Hg Se
2 1 1
direct
0.000 0.500 0.000
0.500 0.000 0.000
0.000 0.000 0.500
0.500 0.500 0.500
```

Values from the calculation:
- M_tot: 0.81 μB/cell
- Uncorrected energy: -4.821 eV per atom
- Formation energy from raw total energies: -2.8 eV/f.u.
- ΔE to the lowest computed polymorph: 0.267 eV per atom


[23]
VASP calculation (PBE) on an optimized crystal structure of MgFeCl2.

POSCAR file:
```
MgFeCl2
1.0
1.653 -3.002 0.000
1.653 3.002 0.000
0.000 0.000 8.894
Mg Fe Cl
1 1 2
direct
0.000 0.000 0.000
0.000 0.000 0.500
0.500 0.500 0.306
0.500 0.500 0.694
```

Values from the calculation:
- M_tot: 3.46 μB/cell
- Uncorrected energy: -3.743 eV per atom
- Formation energy from raw total energies: -1.2 eV/f.u.
- ΔE to the lowest computed polymorph: 0.215 eV per atom


[24]
VASP calculation (PBE) on an optimized crystal structure of MgGaS2N.

POSCAR file:
```
MgGaS2N
1.0
4.893 0.000 0.000
0.000 4.893 0.000
0.000 0.000 3.739
Mg Ga S N
1 1 2 1
direct
0.000 0.000 0.000
0.500 0.500 0.500
0.000 0.500 0.500
0.500 0.000 0.500
0.500 0.500 0.000
```

Values from the calculation:
- M_tot: 1.96 μB/cell
- Uncorrected energy: -3.985 eV per atom
- Formation energy from raw total energies: 1.3 eV/f.u.
- ΔE to the lowest computed polymorph: 0.000 eV per atom


[25]
VASP calculation (PBE) on an optimized crystal structure of Fe3ReRu.

POSCAR file:
```
Fe3ReRu
1.0
4.402 0.000 0.000
0.000 4.402 0.000
0.000 0.000 4.402
Fe Re Ru
3 1 1
direct
0.000 0.000 0.500
0.000 0.500 0.000
0.500 0.000 0.000
0.000 0.000 0.000
0.500 0.500 0.500
```

Values from the calculation:
- M_tot: 6.75 μB/cell
- Uncorrected energy: -7.694 eV per atom
- ΔE to the lowest computed polymorph: 0.000 eV per atom
- ΔH_f (0 K): 1729 meV per atom